DFT (PBE-GGA) results for a relaxed NaSnCl2 crystal.

Calculated values
**Final energy**: -0.24720 Ry per atom
**D(E_F)**: 0.5 states/eV/f.u.
**E_form (uncorrected)**: -1.11 eV/atom
**Total magnetization**: 0.0 Bohr magnetons per cell

Cell lengths 9.0052, 9.0052, 9.0052 Å; angles 24.14, 24.14, 24.14 degrees
Positions (direct):
Na1 0.5000 0.5000 0.5000
Cl1 0.8972 0.8972 0.8972
Cl2 0.1028 0.1028 0.1028
Sn1 0.0000 0.0000 0.0000